No. 1
Density functional theory data (PBE) for a relaxed structure of BaTbDy.

Results
E, eV per atom: -3.532
Symmetry: I4mm (107)
V, A^3/atom: 38.98

Lattice parameters (Å, degrees): 3.7748 3.7748 8.6298 102.63 102.63 90.00
Closest atoms and distances in Å follow each position.
Atoms (fractional coordinates):
Tb1 0.3180 0.3180 0.6360  4 Dy 3.48, 4 Tb 3.77
Ba1 0.0001 0.0001 0.0001  4 Ba 3.77, 4 Dy 4.00, 4 Tb 4.01
Dy1 0.6819 0.6819 0.3639  4 Tb 3.48, 4 Dy 3.77

No. 2
Density functional theory data (PBE) for a relaxed structure of Ba3Tb3DyTe8.

Results
E, eV per atom: -4.833
Symmetry: C2/m (12)
Uncorrected formation energy, eV per atom: -1.540
V, A^3/atom: 37.51

Lattice parameters (Å, degrees): 9.0148 9.0105 9.5383 118.16 90.01 119.99
Closest atoms and distances in Å follow each position.
Atoms (fractional coordinates):
Ba1 0.0000 0.0000 0.0000  6 Te 3.45-3.46
Ba2 0.0000 0.5000 0.0000  6 Te 3.45-3.46
Ba3 0.5000 0.5000 0.0000  6 Te 3.45-3.46
Tb1 0.5000 0.0000 0.5000  6 Te 3.11-3.13
Tb2 0.5000 0.5000 0.5000  6 Te 3.11-3.13
Tb3 0.0000 0.5000 0.5000  6 Te 3.11-3.13
Dy1 0.0000 0.0000 0.5000  6 Te 3.14
Te1 0.2610 0.5220 0.2829  3 Tb 3.13, 3 Ba 3.45
Te2 0.7390 0.4780 0.7171  3 Tb 3.13, 3 Ba 3.45
Te3 0.7598 0.5197 0.2839  2 Tb 3.11, 1 Dy 3.14, 2 Ba 3.46
Te4 0.2402 0.4803 0.7161  2 Tb 3.11, 1 Dy 3.14, 2 Ba 3.46
Te5 0.7597 0.0241 0.2837  2 Tb 3.11, 1 Dy 3.14, 2 Ba 3.46
Te6 0.2403 0.9759 0.7163  2 Tb 3.11, 1 Dy 3.14, 2 Ba 3.46
Te7 0.2642 0.0240 0.2838  2 Tb 3.11, 1 Dy 3.14, 2 Ba 3.46
Te8 0.7358 0.9760 0.7162  2 Tb 3.11, 1 Dy 3.14, 2 Ba 3.46

No. 3
Density functional theory data (PBE) for a relaxed structure of Ba3Tb2DyTe6.

Results
E, eV per atom: -4.732
Symmetry: C2/m (12)
Uncorrected formation energy, eV per atom: -1.526
V, A^3/atom: 35.58

Lattice parameters (Å, degrees): 7.9326 7.9326 8.2637 99.23 99.23 119.91
Closest atoms and distances in Å follow each position.
Atoms (fractional coordinates):
Ba1 0.1672 0.8328 0.5000  6 Te 3.46
Ba2 0.8328 0.1672 0.5000  6 Te 3.46
Ba3 0.5000 0.5000 0.5000  6 Te 3.45-3.46
Tb1 0.3336 0.6664 0.0000  6 Te 3.14
Tb2 0.6664 0.3336 0.0000  6 Te 3.14
Dy1 0.0000 0.0000 0.0000  6 Te 3.13
Te1 0.9283 0.5959 0.7845  1 Dy 3.13, 2 Tb 3.14, 3 Ba 3.45-3.46
Te2 0.7399 0.7399 0.2161  1 Dy 3.13, 2 Tb 3.14, 3 Ba 3.46
Te3 0.0717 0.4041 0.2155  1 Dy 3.13, 2 Tb 3.14, 3 Ba 3.45-3.46
Te4 0.5959 0.9283 0.7845  1 Dy 3.13, 2 Tb 3.14, 3 Ba 3.45-3.46
Te5 0.2601 0.2601 0.7839  1 Dy 3.13, 2 Tb 3.14, 3 Ba 3.46
Te6 0.4041 0.0717 0.2155  1 Dy 3.13, 2 Tb 3.14, 3 Ba 3.45-3.46

No. 4
Density functional theory data (PBE) for a relaxed structure of BaDy2Tc.

Results
E, eV per atom: -5.062
Symmetry: R-3m (166)
V, A^3/atom: 31.41

Lattice parameters (Å, degrees): 3.5970 3.5970 11.4042 80.93 80.93 60.00
Closest atoms and distances in Å follow each position.
Atoms (fractional coordinates):
Tc1 0.5000 0.5000 0.5000  6 Dy 2.83
Ba1 0.0000 0.0000 0.0000  6 Ba 3.60, 2 Dy 3.69
Dy1 0.1096 0.1096 0.6712  3 Tc 2.83
Dy2 0.8904 0.8904 0.3288  3 Tc 2.83

No. 5
Density functional theory data (PBE) for a relaxed structure of BaDyTe2.

Results
E, eV per atom: -4.718
Symmetry: R-3m (166)
Excess energy over the best structure of this formula in the dataset, eV/atom: 0.000
Uncorrected formation energy, eV per atom: -1.516
V, A^3/atom: 35.43

Lattice parameters (Å, degrees): 4.5716 4.5716 8.2620 73.94 73.94 60.00
Closest atoms and distances in Å follow each position.
Atoms (fractional coordinates):
Ba1 0.5000 0.5000 0.5000  6 Te 3.46
Dy1 0.0000 0.0000 0.0000  6 Te 3.13
Te1 0.2617 0.2617 0.2149  3 Dy 3.13, 3 Ba 3.46
Te2 0.7383 0.7383 0.7851  3 Dy 3.13, 3 Ba 3.46

No. 6
Density functional theory data (PBE) for a relaxed structure of Ba2DyTe3.

Results
E, eV per atom: -4.562
Symmetry: C2/m (12)
Uncorrected formation energy, eV per atom: -1.583
V, A^3/atom: 38.07

Lattice parameters (Å, degrees): 8.1923 8.1923 8.3259 99.49 99.49 120.00
Closest atoms and distances in Å follow each position.
Atoms (fractional coordinates):
Ba1 0.8334 0.1666 0.5000  6 Te 3.38-3.56
Ba2 0.3333 0.6667 0.0000  6 Te 3.39-3.42
Ba3 0.1748 0.8252 0.5000  6 Te 3.41-3.57
Ba4 0.4919 0.5081 0.5000  6 Te 3.41-3.57
Dy1 0.0018 0.9982 0.0000  6 Te 3.16-3.18
Dy2 0.6649 0.3351 0.0000  6 Te 3.16-3.18
Te1 0.6172 0.9506 0.7823  2 Dy 3.16, 4 Ba 3.38-3.52
Te2 0.0494 0.3828 0.2177  2 Dy 3.16, 4 Ba 3.38-3.52
Te3 0.9012 0.5909 0.7746  2 Dy 3.16-3.18, 2 Ba 3.41-3.42
Te4 0.2575 0.2345 0.7746  2 Dy 3.16-3.18, 2 Ba 3.41-3.42
Te5 0.4091 0.0988 0.2254  2 Dy 3.16-3.18, 2 Ba 3.41-3.42
Te6 0.7655 0.7425 0.2254  2 Dy 3.16-3.18, 2 Ba 3.41-3.42

No. 7
Density functional theory data (PBE) for a relaxed structure of BaDy6Te8.

Results
E, eV per atom: -4.908
Symmetry: R-3 (148)
Uncorrected formation energy, eV per atom: -1.264
V, A^3/atom: 37.78

Lattice parameters (Å, degrees): 8.2753 8.2753 8.2753 89.93 89.93 89.93
Closest atoms and distances in Å follow each position.
Atoms (fractional coordinates):
Ba1 0.0000 0.0000 0.0000  8 Te 3.54-3.95
Dy1 0.5878 0.4309 0.8026  5 Te 3.03-3.18
Dy2 0.4309 0.8026 0.5878  5 Te 3.03-3.18
Dy3 0.8026 0.5878 0.4309  5 Te 3.03-3.18
Dy4 0.4122 0.5691 0.1974  5 Te 3.03-3.18
Dy5 0.5691 0.1974 0.4122  5 Te 3.03-3.18
Dy6 0.1974 0.4122 0.5691  5 Te 3.03-3.18
Te1 0.7533 0.7533 0.7533  3 Dy 3.03
Te2 0.2467 0.2467 0.2467  3 Dy 3.03
Te3 0.6241 0.8684 0.2626  4 Dy 3.03-3.18
Te4 0.8684 0.2626 0.6241  4 Dy 3.03-3.18
Te5 0.2626 0.6241 0.8684  4 Dy 3.03-3.18
Te6 0.3759 0.1316 0.7374  4 Dy 3.03-3.18
Te7 0.1316 0.7374 0.3759  4 Dy 3.03-3.18
Te8 0.7374 0.3759 0.1316  4 Dy 3.03-3.18

No. 8
Density functional theory data (PBE) for a relaxed structure of BaDy3Te6.

Results
E, eV per atom: -4.817
Symmetry: P2_1/m (11)
Uncorrected formation energy, eV per atom: -1.360
V, A^3/atom: 35.38

Lattice parameters (Å, degrees): 4.4855 12.7667 13.0893 109.26 90.00 90.00
Closest atoms and distances in Å follow each position.
Atoms (fractional coordinates):
Ba1 0.7500 0.0530 0.6976  8 Te 3.52-3.65
Ba2 0.2500 0.9470 0.3024  8 Te 3.52-3.65
Dy1 0.7500 0.4498 0.8383  6 Te 3.07-3.14
Dy2 0.2500 0.5502 0.1617  6 Te 3.07-3.14
Dy3 0.7500 0.6760 0.4973  7 Te 3.11-3.28
Dy4 0.2500 0.3240 0.5027  7 Te 3.11-3.28
Dy5 0.7500 0.1546 0.0845  6 Te 3.04-3.11
Dy6 0.2500 0.8454 0.9155  6 Te 3.04-3.11
Te1 0.7500 0.4889 0.6193  4 Dy 3.07-3.28
Te2 0.2500 0.5111 0.3807  4 Dy 3.07-3.28
Te3 0.7500 0.9145 0.0864  3 Dy 3.07-3.08
Te4 0.2500 0.0855 0.9136  3 Dy 3.07-3.08
Te5 0.7500 0.3841 0.0493  4 Dy 3.10-3.14
Te6 0.2500 0.6159 0.9507  4 Dy 3.10-3.14
Te7 0.7500 0.7173 0.2669  3 Dy 3.09-3.23
Te8 0.2500 0.2827 0.7331  3 Dy 3.09-3.23
Te9 0.7500 0.1429 0.4676  2 Dy 3.14, 2 Ba 3.52
Te10 0.2500 0.8571 0.5324  2 Dy 3.14, 2 Ba 3.52
Te11 0.7500 0.7892 0.7499  3 Dy 3.04-3.14
Te12 0.2500 0.2108 0.2501  3 Dy 3.04-3.14

No. 9
Density functional theory data (PBE) for a relaxed structure of BaDyTe2.

Results
E, eV per atom: -4.680
Symmetry: R3m (160)
Excess energy over the best structure of this formula in the dataset, eV/atom: 0.038
Uncorrected formation energy, eV per atom: -1.478
V, A^3/atom: 35.64

Lattice parameters (Å, degrees): 4.4929 4.4929 8.5579 74.78 74.78 60.00
Closest atoms and distances in Å follow each position.
Atoms (fractional coordinates):
Ba1 0.4969 0.4969 0.5093  6 Te 3.44-3.55
Dy1 0.6692 0.6692 0.9924  6 Te 3.09-3.15
Te1 0.0714 0.0714 0.7859  3 Dy 3.09, 3 Ba 3.44
Te2 0.2625 0.2625 0.2124  3 Dy 3.15

No. 10
Density functional theory data (PBE) for a relaxed structure of BaDyTe4.

Results
E, eV per atom: -4.285
Symmetry: P4/nbm (125)
Uncorrected formation energy, eV per atom: -1.103
V, A^3/atom: 34.33

Lattice parameters (Å, degrees): 6.9969 6.9969 8.4159 90.00 90.00 90.00
Closest atoms and distances in Å follow each position.
Atoms (fractional coordinates):
Ba1 0.5000 0.5000 0.5000  8 Te 3.59
Ba2 0.0000 0.0000 0.5000  8 Te 3.59
Dy1 0.5000 0.5000 0.0000  8 Te 3.21
Dy2 0.0000 0.0000 0.0000  8 Te 3.21
Te1 0.6519 0.8481 0.2136  1 Te 3.01, 2 Dy 3.21
Te2 0.1519 0.6519 0.2136  1 Te 3.01, 2 Dy 3.21
Te3 0.8481 0.3481 0.2136  1 Te 3.01, 2 Dy 3.21
Te4 0.6519 0.1519 0.7864  1 Te 3.01, 2 Dy 3.21
Te5 0.3481 0.8481 0.7864  1 Te 3.01, 2 Dy 3.21
Te6 0.3481 0.1519 0.2136  1 Te 3.01, 2 Dy 3.21
Te7 0.8481 0.6519 0.7864  1 Te 3.01, 2 Dy 3.21
Te8 0.1519 0.3481 0.7864  1 Te 3.01, 2 Dy 3.21